Entry from the Alexandria database: an optimized crystal structure of MgInTc2Au (PBE-GGA).

The spin magnetization is 4.32 μB per cell. The value obtained for the energy above the lowest structure with this stoichiometry is 358 meV per atom. The calculation puts the energy relative to the elements at 8.2 eV per formula unit.

The structure belongs to space group P4/mmm (No. 123); the cell edges are 4.7671, 4.7671 and 4.9720 Å and the angles 90.00°, 90.00° and 90.00°. The distinct sites, in fractional coordinates, are Mg at (0.0000, 0.0000, 0.0000), In at (0.0000, 0.0000, 0.5000), Tc at (0.0000, 0.5000, 0.0000) and Au at (0.5000, 0.5000, 0.5000).